Entry 1:
## LiSc2Tl3S6 (PBE-GGA)

Data for a relaxed LiSc2Tl3S6 crystal.

Cell and atoms, written as POSCAR:
```
LiSc2Tl3S6
1.0
6.7526 -0.0044 0.0008
-3.3785 5.8467 0.0008
-1.1247 -1.9474 6.8585
Li Sc Tl S
1 2 3 6
Cartesian
0.0000 0.0000 0.0000 Li
-0.0276 3.9114 0.0008 Sc
3.4017 1.9308 0.0008 Sc
-2.2802 3.9139 3.4300 Tl
4.5296 -0.0190 3.4300 Tl
1.1247 1.9474 3.4300 Tl
3.4212 1.8543 5.4600 S
2.1921 3.7955 1.3674 S
-1.1718 2.0406 1.4001 S
-0.1036 3.8900 5.4600 S
0.0574 0.0994 5.4927 S
2.3531 0.0048 1.4001 S
```

## Properties
**Uncorrected energy**: -4.90 eV per atom
**Formation energy without anion corrections**: -1.025 eV per atom
**N(E_F)**: 5.01 states/eV per cell
**M_tot**: 0.00 μB per cell

Entry 2:
## MgTiTcH2 (PBE-GGA)

Data for a relaxed MgTiTcH2 crystal.

Cell and atoms, written as POSCAR:
```
MgTiTcH2
1.0
3.5749 0.0000 0.0000
0.0000 5.3716 0.0000
0.0000 0.0000 3.5749
H Mg Tc Ti
2 1 1 1
Cartesian
0.0000 0.0000 1.7874 H
1.7874 0.0000 0.0000 H
0.0000 2.6858 0.0000 Mg
1.7874 2.6858 1.7874 Tc
0.0000 0.0000 0.0000 Ti
```

## Properties
**Uncorrected energy**: -4.50 eV per atom
**N(E_F)**: 2.13 states/eV per cell
**M_tot**: 1.09 μB per cell

Entry 3:
## TaCr2As (PBE-GGA)

Data for a relaxed TaCr2As crystal.

Cell and atoms, written as POSCAR:
```
TaCr2As
1.0
4.8640 -0.0083 0.0038
1.9229 4.4678 -0.0038
-3.0241 -2.7919 2.5921
As Cr Ta
1 2 1
Cartesian
1.1461 1.9528 1.2941 As
0.0144 0.0094 0.0000 Cr
3.3791 2.2203 0.0000 Cr
2.6167 -0.2852 1.2980 Ta
```

## Properties
**Uncorrected energy**: -8.84 eV per atom
**N(E_F)**: 4.42 states/eV per cell
**M_tot**: 0.00 μB per cell
**ΔE_f**: 0.41 eV per formula unit

Entry 4:
## NbPdAu (PBE-GGA)

Data for a relaxed NbPdAu crystal.

Cell and atoms, written as POSCAR:
```
NbPdAu
1.0
4.0491 0.0000 0.0000
0.0000 5.7990 0.0000
0.0000 0.0000 8.5666
Nb Pd Au
4 4 4
Cartesian
3.0368 0.7080 6.3916 Nb
1.0123 2.1915 2.1083 Nb
1.0123 5.0910 2.1750 Nb
3.0368 3.6075 6.4583 Nb
3.0368 0.7247 3.5534 Pd
1.0123 2.1748 7.8367 Pd
1.0123 5.0743 5.0132 Pd
3.0368 3.6242 0.7299 Pd
3.0368 0.7428 0.7194 Au
1.0123 2.1567 5.0027 Au
1.0123 5.0562 7.8473 Au
3.0368 3.6423 3.5639 Au
```

## Properties
**Uncorrected energy**: -6.49 eV per atom
**N(E_F)**: 7.49 states/eV per cell
**M_tot**: 0.00 μB per cell
**ΔE_f**: -0.92 eV per formula unit

Entry 5:
## KScTi (PBE-GGA)

Data for a relaxed KScTi crystal.

Cell and atoms, written as POSCAR:
```
KScTi
1.0
-2.5056 1.6853 -1.8521
4.3515 -7.1228 -12.5204
-2.2795 -2.6219 0.6982
Sc K Ti
2 2 2
Cartesian
-2.3962 -1.7012 -2.0878 Sc
1.3463 -3.4224 -5.3264 Sc
3.4149 -6.8364 -11.3831 K
-0.1070 -5.4059 -8.5482 K
0.5027 -2.0552 -2.9435 Ti
-1.5534 -3.0690 -4.4711 Ti
```

## Properties
**Uncorrected energy**: -4.87 eV per atom
**N(E_F)**: 4.68 states/eV per cell
**M_tot**: 0.00 μB per cell
**ΔE_f**: 0.71 eV per formula unit

Entry 6:
## BeSeS3 (PBE-GGA)

Data for a relaxed BeSeS3 crystal.

Cell and atoms, written as POSCAR:
```
BeSeS3
1.0
4.7298 0.0000 0.0000
0.0000 4.7298 0.0000
0.0000 0.0000 4.7298
Be S Se
1 3 1
Cartesian
2.3649 2.3649 2.3649 Be
0.0000 2.3649 0.0000 S
0.0000 0.0000 2.3649 S
2.3649 0.0000 0.0000 S
0.0000 0.0000 0.0000 Se
```

## Properties
**Uncorrected energy**: -2.84 eV per atom
**Formation energy without anion corrections**: 1.074 eV per atom
**N(E_F)**: 3.74 states/eV per cell
**M_tot**: 0.00 μB per cell

We obtain theoretical density values of 5.54; 4.17; 10.60; 13.09; 2.32; 2.89 g/cm3 for the records listed above, in that order.